(1)
The following is a DFT calculation (PBE) of an optimized crystal structure of MnRe2Ni.

## Properties
Raw total energy (eV/atom): -9.845
Calculated density (g cm⁻³): 15.26
Excess energy over the best structure of this formula in the dataset (meV/atom): 99
Magnetic moment (μB per formula unit): 0.00
Formation energy (eV/atom): 0.1168
Space-group type: R-3m (166)

Unit cell a=8.6744 b=8.6744 c=8.6744 alpha=17.74 beta=17.74 gamma=17.74
Closest atoms and distances in Å follow each position.
Fractional positions:
Mn  0.2500  0.2500  0.2500  6 Re 2.62, 6 Mn 2.67
Ni  0.7500  0.7500  0.7500  6 Re 2.65, 6 Ni 2.67
Re  0.9992  0.9992  0.9992  3 Mn 2.62, 3 Ni 2.65, 6 Re 2.67
Re  0.5008  0.5008  0.5008  3 Mn 2.62, 3 Ni 2.65, 6 Re 2.67


(2)
The following is a DFT calculation (PBE) of an optimized crystal structure of ZrTePS2.

## Properties
Raw total energy (eV/atom): -5.114
Calculated density (g cm⁻³): 4.10
Excess energy over the best structure of this formula in the dataset (meV/atom): 0
Magnetic moment (μB per formula unit): 0.00
Uncorrected formation energy (meV per atom): -43
Space-group type: P4/mmm (123)

Unit cell a=4.8697 b=4.8697 c=5.3675 alpha=90.00 beta=90.00 gamma=90.00
Closest atoms and distances in Å follow each position.
Fractional positions:
P  0.0000  0.0000  0.5000  2 Zr 2.68
S  0.0000  0.5000  0.0000  2 Zr 2.43
S  0.5000  0.0000  0.0000  2 Zr 2.43
Te  0.5000  0.5000  0.5000  4 P 3.44, 8 S 3.62
Zr  0.0000  0.0000  0.0000  4 S 2.43, 2 P 2.68


(3)
The following is a DFT calculation (PBE) of an optimized crystal structure of Hf2BePt2.

## Properties
Raw total energy (eV/atom): -7.820
Calculated density (g cm⁻³): 13.87
Excess energy over the best structure of this formula in the dataset (meV/atom): 0
Magnetic moment (μB per formula unit): 0.00
Formation energy (eV/atom): -0.6767
Space-group type: P4/mbm (127)

Unit cell a=7.2842 b=7.2842 c=3.4113 alpha=90.00 beta=90.00 gamma=90.00
Closest atoms and distances in Å follow each position.
Fractional positions:
Be  0.0000  0.0000  0.0000  4 Pt 2.83
Be  0.5000  0.5000  0.0000  4 Pt 2.83
Hf  0.1694  0.6694  0.5000  6 Pt 2.64-2.81
Hf  0.6694  0.8306  0.5000  6 Pt 2.64-2.81
Hf  0.8306  0.3306  0.5000  6 Pt 2.64-2.81
Hf  0.3306  0.1694  0.5000  6 Pt 2.64-2.81
Pt  0.3645  0.8645  0.0000  6 Hf 2.64-2.81, 1 Pt 2.79, 2 Be 2.83
Pt  0.8645  0.6355  0.0000  6 Hf 2.64-2.81, 1 Pt 2.79, 2 Be 2.83
Pt  0.6355  0.1355  0.0000  6 Hf 2.64-2.81, 1 Pt 2.79, 2 Be 2.83
Pt  0.1355  0.3645  0.0000  6 Hf 2.64-2.81, 1 Pt 2.79, 2 Be 2.83


(4)
The following is a DFT calculation (PBE) of an optimized crystal structure of PrGdInHg.

## Properties
Raw total energy (eV/atom): -5.964
Calculated density (g cm⁻³): 9.01
Magnetic moment (μB per formula unit): 8.10
Formation energy (eV/atom): -0.4886
Space-group type: F-43m (216)

Unit cell a=5.4277 b=5.4277 c=5.4277 alpha=60.00 beta=60.00 gamma=60.00
Closest atoms and distances in Å follow each position.
Fractional positions:
Pr  0.0000  0.0000  0.0000  4 In 3.32, 4 Hg 3.32
Gd  0.5000  0.5000  0.5000  4 Hg 3.32, 4 In 3.32
Hg  0.7500  0.7500  0.7500  4 Gd 3.32, 4 Pr 3.32
In  0.2500  0.2500  0.2500  4 Gd 3.32, 4 Pr 3.32


(5)
The following is a DFT calculation (PBE) of an optimized crystal structure of ThAlFe.

## Properties
Raw total energy (eV/atom): -6.622
Calculated density (g cm⁻³): 9.28
Magnetic moment (μB per formula unit): 0.00
Formation energy (eV/atom): -0.0803
Space-group type: I4mm (107)

Unit cell a=3.1482 b=3.1482 c=6.1031 alpha=104.95 beta=104.95 gamma=90.00
Closest atoms and distances in Å follow each position.
Fractional positions:
Fe  0.6869  0.6869  0.3738  4 Al 2.54
Th  0.0185  0.0185  0.0370  4 Fe 2.94, 1 Al 3.14, 4 Th 3.15
Al  0.2946  0.2946  0.5892  4 Fe 2.54


(6)
The following is a DFT calculation (PBE) of an optimized crystal structure of AcGaAg2.

## Properties
Raw total energy (eV/atom): -3.286
Calculated density (g cm⁻³): 8.68
Magnetic moment (μB per formula unit): 0.00
Formation energy (eV/atom): -0.0767
Space-group type: P4/mmm (123)

Unit cell a=3.7127 b=3.7127 c=7.1132 alpha=90.00 beta=90.00 gamma=90.00
Closest atoms and distances in Å follow each position.
Fractional positions:
Ac  0.5000  0.5000  0.5000  8 Ag 3.38, 2 Ga 3.56, 4 Ac 3.71
Ga  0.5000  0.5000  0.0000  8 Ag 2.99
Ag  0.0000  0.0000  0.7987  1 Ag 2.86, 4 Ga 2.99
Ag  0.0000  0.0000  0.2013  1 Ag 2.86, 4 Ga 2.99


(7)
The following is a DFT calculation (PBE) of an optimized crystal structure of Dy7Tm12Mg.

## Properties
Raw total energy (eV/atom): -3.536
Calculated density (g cm⁻³): 6.29
Excess energy over the best structure of this formula in the dataset (meV/atom): 619
Magnetic moment (μB per formula unit): 0.00
Formation energy (eV/atom): 0.8375
Space-group type: Im-3 (204)

Unit cell a=10.3051 b=10.3051 c=10.3051 alpha=109.47 beta=109.47 gamma=109.47
Closest atoms and distances in Å follow each position.
Fractional positions:
Dy  0.5000  0.5000  0.0000  8 Tm 3.28-3.54
Dy  0.0000  0.5000  0.5000  8 Tm 3.28-3.54
Dy  0.5000  0.0000  0.5000  8 Tm 3.28-3.54
Dy  0.5000  0.5000  0.5000  6 Tm 3.25
Dy  0.0000  0.0000  0.5000  6 Tm 3.25
Dy  0.5000  0.0000  0.0000  6 Tm 3.25
Dy  0.0000  0.5000  0.0000  6 Tm 3.25
Tm  0.3774  0.6400  0.7374  4 Dy 3.25-3.54, 5 Tm 3.33-3.59
Tm  0.9025  0.6400  0.2626  4 Dy 3.25-3.54, 5 Tm 3.33-3.59
Tm  0.6226  0.3600  0.2626  4 Dy 3.25-3.54, 5 Tm 3.33-3.59
Tm  0.0975  0.3600  0.7374  4 Dy 3.25-3.54, 5 Tm 3.33-3.59
Tm  0.7374  0.0975  0.3600  4 Dy 3.25-3.54, 5 Tm 3.33-3.59
Tm  0.7374  0.3774  0.6400  4 Dy 3.25-3.54, 5 Tm 3.33-3.59
Tm  0.2626  0.9025  0.6400  4 Dy 3.25-3.54, 5 Tm 3.33-3.59
Tm  0.2626  0.6226  0.3600  4 Dy 3.25-3.54, 5 Tm 3.33-3.59
Tm  0.6400  0.7374  0.3774  4 Dy 3.25-3.54, 5 Tm 3.33-3.59
Tm  0.3600  0.2626  0.6226  4 Dy 3.25-3.54, 5 Tm 3.33-3.59
Tm  0.6400  0.2626  0.9025  4 Dy 3.25-3.54, 5 Tm 3.33-3.59
Tm  0.3600  0.7374  0.0975  4 Dy 3.25-3.54, 5 Tm 3.33-3.59
Mg  0.0000  0.0000  0.0000  8 Dy 5.15, 12 Tm 5.30


(8)
The following is a DFT calculation (PBE) of an optimized crystal structure of TcNiBr2.

## Properties
Raw total energy (eV/atom): -4.228
Calculated density (g cm⁻³): 7.79
Excess energy over the best structure of this formula in the dataset (meV/atom): 482
Magnetic moment (μB per formula unit): 0.00
Uncorrected formation energy (meV per atom): 646
Space-group type: R-3m (166)

Unit cell a=7.7334 b=7.7334 c=7.7334 alpha=24.05 beta=24.05 gamma=24.05
Closest atoms and distances in Å follow each position.
Fractional positions:
Br  0.9966  0.9966  0.9966  3 Ni 2.59, 3 Tc 2.70
Br  0.5034  0.5034  0.5034  3 Ni 2.59, 3 Tc 2.70
Ni  0.2500  0.2500  0.2500  6 Br 2.59
Tc  0.7500  0.7500  0.7500  6 Br 2.70


(9)
The following is a DFT calculation (PBE) of an optimized crystal structure of Ti3SnH3.

## Properties
Raw total energy (eV/atom): -5.648
Calculated density (g cm⁻³): 5.09
Excess energy over the best structure of this formula in the dataset (meV/atom): 223
Magnetic moment (μB per formula unit): 0.00
Space-group type: R-3 (148)

Unit cell a=5.2492 b=5.2492 c=7.8678 alpha=70.51 beta=70.51 gamma=60.00
Closest atoms and distances in Å follow each position.
Fractional positions:
Ti  0.2273  0.5606  0.3160  4 H 1.89-1.95
Ti  0.8961  0.2273  0.3160  4 H 1.89-1.95
Ti  0.5606  0.8961  0.3160  4 H 1.89-1.95
Ti  0.4394  0.1039  0.6840  4 H 1.89-1.95
Ti  0.1039  0.7727  0.6840  4 H 1.89-1.95
Ti  0.7727  0.4394  0.6840  4 H 1.89-1.95
Sn  0.3335  0.3335  0.9995  6 Ti 2.88-2.89, 3 Sn 3.03
Sn  0.6665  0.6665  0.0005  6 Ti 2.88-2.89, 3 Sn 3.03
H  0.4701  0.8054  0.5843  4 Ti 1.89-1.95
H  0.8054  0.1402  0.5843  4 Ti 1.89-1.95
H  0.1402  0.4701  0.5843  4 Ti 1.89-1.95
H  0.8598  0.5299  0.4157  4 Ti 1.89-1.95
H  0.1946  0.8598  0.4157  4 Ti 1.89-1.95
H  0.5299  0.1946  0.4157  4 Ti 1.89-1.95


(10)
The following is a DFT calculation (PBE) of an optimized crystal structure of TbPmHg4.

## Properties
Raw total energy (eV/atom): -2.001
Calculated density (g cm⁻³): 12.12
Excess energy over the best structure of this formula in the dataset (meV/atom): 117
Magnetic moment (μB per formula unit): 0.00
Formation energy (eV/atom): -0.2365
Space-group type: F-43m (216)

Unit cell a=5.9845 b=5.9845 c=5.9845 alpha=60.00 beta=60.00 gamma=60.00
Closest atoms and distances in Å follow each position.
Fractional positions:
Tb  0.0000  0.0000  0.0000  12 Hg 3.51, 4 Pm 3.66
Hg  0.6250  0.6250  0.1250  6 Hg 2.99
Hg  0.6250  0.1250  0.6250  6 Hg 2.99
Hg  0.6250  0.6250  0.6250  6 Hg 2.99
Hg  0.1250  0.6250  0.6250  6 Hg 2.99
Pm  0.2500  0.2500  0.2500  12 Hg 3.51, 4 Tb 3.66


(11)
The following is a DFT calculation (PBE) of an optimized crystal structure of VSnAu3.

## Properties
Raw total energy (eV/atom): -3.744
Calculated density (g cm⁻³): 9.33
Excess energy over the best structure of this formula in the dataset (meV/atom): 212
Magnetic moment (μB per formula unit): 3.89
Formation energy (eV/atom): 0.8470
Space-group type: Pm-3m (221)

Unit cell a=5.1336 b=5.1336 c=5.1336 alpha=90.00 beta=90.00 gamma=90.00
Closest atoms and distances in Å follow each position.
Fractional positions:
Au  0.0000  0.5000  0.0000  2 Sn 2.57
Au  0.0000  0.0000  0.5000  2 Sn 2.57
Au  0.5000  0.0000  0.0000  2 Sn 2.57
Sn  0.0000  0.0000  0.0000  6 Au 2.57
V  0.5000  0.5000  0.5000  12 Au 3.63


(12)
The following is a DFT calculation (PBE) of an optimized crystal structure of NiSnI3.

## Properties
Raw total energy (eV/atom): -2.851
Calculated density (g cm⁻³): 6.19
Excess energy over the best structure of this formula in the dataset (meV/atom): 0
Magnetic moment (μB per formula unit): 0.00
Uncorrected formation energy (meV per atom): 36
Space-group type: Pm-3m (221)

Unit cell a=5.3101 b=5.3101 c=5.3101 alpha=90.00 beta=90.00 gamma=90.00
Closest atoms and distances in Å follow each position.
Fractional positions:
I  0.0000  0.5000  0.0000  2 Ni 2.66
I  0.0000  0.0000  0.5000  2 Ni 2.66
I  0.5000  0.0000  0.0000  2 Ni 2.66
Ni  0.0000  0.0000  0.0000  6 I 2.66
Sn  0.5000  0.5000  0.5000  12 I 3.75


(13)
The following is a DFT calculation (PBE) of an optimized crystal structure of Li2Zn2Cl7.

## Properties
Raw total energy (eV/atom): -2.901
Calculated density (g cm⁻³): 2.24
Magnetic moment (μB per formula unit): 0.78
Uncorrected formation energy (meV per atom): -1146
Space-group type: C2/m (12)

Unit cell a=6.3569 b=7.0555 c=7.0555 alpha=95.46 beta=104.86 gamma=104.86
Closest atoms and distances in Å follow each position.
Fractional positions:
Li  0.5000  0.3166  0.6834  4 Cl 2.42-2.50
Li  0.5000  0.6834  0.3166  4 Cl 2.42-2.50
Zn  0.0964  0.7865  0.7865  4 Cl 2.26-2.33
Zn  0.9036  0.2135  0.2135  4 Cl 2.26-2.33
Cl  0.2843  0.6014  0.9686  1 Zn 2.26, 1 Li 2.42
Cl  0.7157  0.0314  0.3986  1 Zn 2.26, 1 Li 2.42
Cl  0.7157  0.3986  0.0314  1 Zn 2.26, 1 Li 2.42
Cl  0.2843  0.9686  0.6014  1 Zn 2.26, 1 Li 2.42
Cl  0.2278  0.4312  0.4312  1 Zn 2.30, 2 Li 2.50
Cl  0.0000  0.0000  0.0000  2 Zn 2.33
Cl  0.7722  0.5688  0.5688  1 Zn 2.30, 2 Li 2.50


(14)
The following is a DFT calculation (PBE) of an optimized crystal structure of U3VS6.

## Properties
Raw total energy (eV/atom): -8.020
Calculated density (g cm⁻³): 7.95
Magnetic moment (μB per formula unit): 4.99
Uncorrected formation energy (meV per atom): -1245
Space-group type: P2_1/m (11)

Unit cell a=3.9002 b=8.8287 c=11.6484 alpha=94.06 beta=90.00 gamma=90.00
Closest atoms and distances in Å follow each position.
Fractional positions:
U  0.7500  0.3426  0.8631  8 S 2.75-2.98
U  0.2500  0.6574  0.1369  8 S 2.75-2.98
U  0.7500  0.6937  0.4840  7 S 2.65-2.88
U  0.2500  0.3063  0.5160  7 S 2.65-2.88
U  0.7500  0.1049  0.1386  5 S 2.64-2.74
U  0.2500  0.8951  0.8614  5 S 2.64-2.74
V  0.7500  0.0230  0.6445  6 S 2.33-2.54
V  0.2500  0.9770  0.3555  6 S 2.33-2.54
S  0.7500  0.4616  0.6301  4 U 2.68-2.98
S  0.2500  0.5384  0.3699  4 U 2.68-2.98
S  0.7500  0.8302  0.0163  5 U 2.72-2.90, 1 S 3.03
S  0.2500  0.1698  0.9837  5 U 2.72-2.90, 1 S 3.03
S  0.7500  0.4379  0.1096  4 U 2.75-2.98
S  0.2500  0.5621  0.8904  4 U 2.75-2.98
S  0.7500  0.8342  0.2764  2 V 2.46
S  0.2500  0.1658  0.7236  2 V 2.46
S  0.7500  0.1133  0.4581  3 V 2.37-2.54, 2 U 2.65
S  0.2500  0.8867  0.5419  3 V 2.37-2.54, 2 U 2.65
S  0.7500  0.7889  0.7254  1 V 2.33
S  0.2500  0.2111  0.2746  1 V 2.33


(15)
The following is a DFT calculation (PBE) of an optimized crystal structure of Tb4CeYS8.

## Properties
Raw total energy (eV/atom): -6.487
Calculated density (g cm⁻³): 4.89
Magnetic moment (μB per formula unit): 1.69
Uncorrected formation energy (meV per atom): -1920
Space-group type: R3m (160)

Unit cell a=8.1395 b=8.1395 c=8.1344 alpha=59.98 beta=59.98 gamma=60.00
Closest atoms and distances in Å follow each position.
Fractional positions:
Tb  0.6249  0.6249  0.1252  4 S 2.64
Tb  0.9999  0.5003  0.4999  6 S 2.75-2.80
Tb  0.5003  0.9999  0.4999  6 S 2.75-2.80
Tb  0.9999  0.9999  0.4999  6 S 2.75-2.80
Ce  0.3750  0.3750  0.8749  4 S 2.72
Y  0.9999  0.9999  0.0002  6 S 2.75-2.79
S  0.2383  0.7840  0.7393  1 Ce 2.72, 1 Y 2.75, 2 Tb 2.76
S  0.7840  0.2383  0.7393  1 Ce 2.72, 1 Y 2.75, 2 Tb 2.76
S  0.2383  0.2383  0.7393  1 Ce 2.72, 1 Y 2.75, 2 Tb 2.76
S  0.2387  0.2387  0.2838  1 Ce 2.72, 3 Tb 2.75
S  0.7578  0.2279  0.2566  3 Tb 2.64-2.80, 1 Y 2.79
S  0.2279  0.7578  0.2566  3 Tb 2.64-2.80, 1 Y 2.79
S  0.7578  0.7578  0.2566  3 Tb 2.64-2.80, 1 Y 2.79
S  0.7572  0.7572  0.7283  4 Tb 2.64-2.79


(16)
The following is a DFT calculation (PBE) of an optimized crystal structure of Hf6FeIr3.

## Properties
Raw total energy (eV/atom): -9.939
Calculated density (g cm⁻³): 14.16
Magnetic moment (μB per formula unit): 0.00
Formation energy (eV/atom): -0.4625
Space-group type: P2_1/c (14)

Unit cell a=6.4882 b=6.8306 c=9.0179 alpha=90.00 beta=91.00 gamma=90.00
Closest atoms and distances in Å follow each position.
Fractional positions:
Hf  0.6595  0.1543  0.9322  1 Fe 2.51, 3 Ir 2.65-2.81
Hf  0.6494  0.1794  0.5621  1 Fe 2.46, 2 Ir 2.65-2.69
Hf  0.6900  0.4555  0.2575  1 Fe 2.55, 3 Ir 2.63-2.69
Hf  0.3100  0.5445  0.7425  1 Fe 2.55, 3 Ir 2.63-2.69
Hf  0.3506  0.8206  0.4379  1 Fe 2.46, 2 Ir 2.65-2.69
Hf  0.3405  0.8457  0.0678  1 Fe 2.51, 3 Ir 2.65-2.81
Hf  0.1595  0.3457  0.4322  1 Fe 2.51, 3 Ir 2.65-2.81
Hf  0.1494  0.3206  0.0621  1 Fe 2.46, 2 Ir 2.65-2.69
Hf  0.1900  0.0445  0.7575  1 Fe 2.55, 3 Ir 2.63-2.69
Hf  0.8100  0.9555  0.2425  1 Fe 2.55, 3 Ir 2.63-2.69
Hf  0.8506  0.6794  0.9379  1 Fe 2.46, 2 Ir 2.65-2.69
Hf  0.8405  0.6543  0.5678  1 Fe 2.51, 3 Ir 2.65-2.81
Fe  0.5000  0.5000  0.5000  6 Hf 2.46-2.55
Fe  0.0000  0.0000  0.0000  6 Hf 2.46-2.55
Ir  0.5502  0.8642  0.7239  6 Hf 2.66-2.88
Ir  0.5000  0.5000  0.0000  6 Hf 2.63-2.65
Ir  0.4498  0.1358  0.2761  6 Hf 2.66-2.88
Ir  0.0502  0.6358  0.2239  6 Hf 2.66-2.88
Ir  0.0000  0.0000  0.5000  6 Hf 2.63-2.65
Ir  0.9498  0.3642  0.7761  6 Hf 2.66-2.88


(17)
The following is a DFT calculation (PBE) of an optimized crystal structure of Ca2CrOs4.

## Properties
Raw total energy (eV/atom): -7.113
Calculated density (g cm⁻³): 10.08
Magnetic moment (μB per formula unit): 0.00
Formation energy (eV/atom): 1.2507
Space-group type: I4/mmm (139)

Unit cell a=4.5151 b=4.5151 c=7.8910 alpha=73.38 beta=73.38 gamma=90.00
Closest atoms and distances in Å follow each position.
Fractional positions:
Cr  0.0000  0.0000  0.0000  6 Os 2.21-2.26
Ca  0.6435  0.6435  0.7129  9 Os 2.93-3.20
Ca  0.3565  0.3565  0.2871  9 Os 2.93-3.20
Os  0.8466  0.8466  0.3069  1 Cr 2.21
Os  0.1534  0.1534  0.6931  1 Cr 2.21
Os  0.0000  0.5000  0.0000  2 Cr 2.26
Os  0.5000  0.0000  0.0000  2 Cr 2.26